Entry 1:
The following is a PBE-GGA calculation of Cd2SnPt5 after structural relaxation, from the Alexandria database.

a = 8.4830 Å, b = 8.4830 Å, c = 8.4830 Å
α = 151.64°, β = 151.64°, γ = 40.53°
Closest atoms and distances in Å follow each position.
Sites, in units of the cell vectors:
Cd1 0.2478 0.2478 0.0000  8 Pt 2.88-2.93, 4 Cd 2.94
Cd2 0.7522 0.7522 0.0000  8 Pt 2.88-2.93, 4 Cd 2.94
Sn1 0.5000 0.5000 0.0000  12 Pt 2.85-2.94
Pt1 0.0000 0.0000 0.0000  8 Pt 2.85, 4 Sn 2.94
Pt2 0.1225 0.6225 0.5000  6 Pt 2.85-2.94, 2 Sn 2.85, 4 Cd 2.88-2.93
Pt3 0.3775 0.8775 0.5000  2 Sn 2.85, 6 Pt 2.85-2.94, 4 Cd 2.88-2.93
Pt4 0.6225 0.1225 0.5000  6 Pt 2.85-2.94, 2 Sn 2.85, 4 Cd 2.88-2.93
Pt5 0.8775 0.3775 0.5000  2 Sn 2.85, 6 Pt 2.85-2.94, 4 Cd 2.88-2.93

SG: I4/mmm, No. 139
Energy relative to the elements in eV/atom: -0.303

Entry 2:
The following is a PBE-GGA calculation of TaVPd6 after structural relaxation, from the Alexandria database.

a = 5.2125 Å, b = 5.2125 Å, c = 5.2125 Å
α = 90.25°, β = 90.25°, γ = 90.25°
Closest atoms and distances in Å follow each position.
Sites, in units of the cell vectors:
Ta1 0.0000 0.0000 0.0000  6 Pd 2.68
V1 0.5000 0.5000 0.5000  6 Pd 2.40
Pd1 0.1755 0.1755 0.5516  1 V 2.40, 1 Pd 2.63, 1 Ta 2.68
Pd2 0.1755 0.5516 0.1755  1 V 2.40, 1 Pd 2.63, 1 Ta 2.68
Pd3 0.4484 0.8245 0.8245  1 V 2.40, 1 Pd 2.63, 1 Ta 2.68
Pd4 0.5516 0.1755 0.1755  1 V 2.40, 1 Pd 2.63, 1 Ta 2.68
Pd5 0.8245 0.4484 0.8245  1 V 2.40, 1 Pd 2.63, 1 Ta 2.68
Pd6 0.8245 0.8245 0.4484  1 V 2.40, 1 Pd 2.63, 1 Ta 2.68

SG: R-3m, No. 166
Energy relative to the elements in eV/atom: 0.257
E above lowest polymorph in eV/atom: 0.5906

Entry 3:
The following is a PBE-GGA calculation of CeDy2ThN4 after structural relaxation, from the Alexandria database.

a = 6.1466 Å, b = 3.5531 Å, c = 6.1494 Å
α = 90.00°, β = 109.47°, γ = 90.00°
Closest atoms and distances in Å follow each position.
Sites, in units of the cell vectors:
Ce1 0.0000 0.0000 0.0000  6 N 2.52
Dy1 0.5000 0.0000 0.5000  6 N 2.50
Dy2 0.5000 0.5000 0.0000  6 N 2.50
Th1 0.0000 0.5000 0.5000  6 N 2.52
N1 0.2531 0.5000 0.2510  3 Dy 2.50, 1 Th 2.52, 2 Ce 2.52
N2 0.2540 0.0000 0.7514  3 Dy 2.50, 1 Ce 2.52, 2 Th 2.52
N3 0.7460 0.0000 0.2486  3 Dy 2.50, 1 Ce 2.52, 2 Th 2.52
N4 0.7469 0.5000 0.7490  3 Dy 2.50, 1 Th 2.52, 2 Ce 2.52

SG: P2/m, No. 10
Formation energy without anion corrections in eV per atom: -1.615

Entry 4:
The following is a PBE-GGA calculation of CsRhBr2 after structural relaxation, from the Alexandria database.

a = 5.5550 Å, b = 5.5550 Å, c = 5.5550 Å
α = 60.00°, β = 60.00°, γ = 60.00°
Closest atoms and distances in Å follow each position.
Sites, in units of the cell vectors:
Cs1 0.0000 0.0000 0.0000  8 Br 3.40
Rh1 0.5000 0.5000 0.5000  8 Br 3.40
Br1 0.2500 0.2500 0.2500  4 Rh 3.40, 4 Cs 3.40
Br2 0.7500 0.7500 0.7500  4 Rh 3.40, 4 Cs 3.40

SG: Fm-3m, No. 225
Formation energy without anion corrections in eV per atom: -0.096
E above lowest polymorph in eV/atom: 0.4209

Entry 5:
The following is a PBE-GGA calculation of NaH3Pt after structural relaxation, from the Alexandria database.

a = 3.5790 Å, b = 3.5790 Å, c = 3.5790 Å
α = 90.00°, β = 90.00°, γ = 90.00°
Closest atoms and distances in Å follow each position.
Sites, in units of the cell vectors:
Na1 0.0000 0.0000 0.0000  6 H 1.79
H1 0.0000 0.0000 0.5000  2 Na 1.79
H2 0.0000 0.5000 0.0000  2 Na 1.79
H3 0.5000 0.0000 0.0000  2 Na 1.79
Pt1 0.5000 0.5000 0.5000  12 H 2.53

SG: Pm-3m, No. 221
E above lowest polymorph in eV/atom: 1.3697

Entry 6:
The following is a PBE-GGA calculation of BaSrLa2Ru after structural relaxation, from the Alexandria database.

a = 5.5530 Å, b = 5.5530 Å, c = 6.3655 Å
α = 90.00°, β = 90.00°, γ = 90.00°
Closest atoms and distances in Å follow each position.
Sites, in units of the cell vectors:
Ba1 0.0000 0.0000 0.0000  4 Sr 3.93, 8 La 4.22
Sr1 0.5000 0.5000 0.0000  2 Ru 3.18
La1 0.0000 0.5000 0.5000  2 Ru 2.78
La2 0.5000 0.0000 0.5000  2 Ru 2.78
Ru1 0.5000 0.5000 0.5000  4 La 2.78

SG: P4/mmm, No. 123
Energy relative to the elements in eV/atom: -0.078
E above lowest polymorph in eV/atom: 0.0000

Entry 7:
The following is a PBE-GGA calculation of Li2PbCl after structural relaxation, from the Alexandria database.

a = 5.1862 Å, b = 5.1862 Å, c = 3.3447 Å
α = 90.70°, β = 90.70°, γ = 106.24°
Closest atoms and distances in Å follow each position.
Sites, in units of the cell vectors:
Li1 0.0000 0.5000 0.0000  4 Cl 3.07-3.10, 4 Pb 3.07-3.10, 4 Li 3.11-3.34
Li2 0.5000 0.0000 0.0000  4 Cl 3.07-3.10, 4 Pb 3.07-3.10, 4 Li 3.11-3.34
Pb1 0.0000 0.0000 0.5000  8 Li 3.07-3.10, 2 Cl 3.11, 2 Pb 3.34
Cl1 0.5000 0.5000 0.5000  8 Li 3.07-3.10, 2 Pb 3.11, 2 Cl 3.34

SG: C2/m, No. 12
Formation energy without anion corrections in eV per atom: -0.596
E above lowest polymorph in eV/atom: 0.3346

Entry 8:
The following is a PBE-GGA calculation of Ac2InAg9 after structural relaxation, from the Alexandria database.

a = 9.9860 Å, b = 9.9860 Å, c = 9.9860 Å
α = 33.95°, β = 33.95°, γ = 33.95°
Closest atoms and distances in Å follow each position.
Sites, in units of the cell vectors:
Ac1 0.1344 0.1344 0.1344  9 Ag 3.27-3.49
Ac2 0.8656 0.8656 0.8656  9 Ag 3.27-3.49
In1 0.0000 0.0000 0.0000  18 Ag 3.37-3.72
Ag1 0.0788 0.5834 0.5834  7 Ag 2.85-2.94
Ag2 0.3334 0.3334 0.3334  6 Ag 2.85-2.87
Ag3 0.4166 0.4166 0.9212  7 Ag 2.85-2.94
Ag4 0.4166 0.9212 0.4166  7 Ag 2.85-2.94
Ag5 0.5000 0.5000 0.5000  6 Ag 2.93
Ag6 0.5834 0.0788 0.5834  7 Ag 2.85-2.94
Ag7 0.5834 0.5834 0.0788  7 Ag 2.85-2.94
Ag8 0.6666 0.6666 0.6666  6 Ag 2.85-2.87
Ag9 0.9212 0.4166 0.4166  7 Ag 2.85-2.94

SG: R-3m, No. 166
Energy relative to the elements in eV/atom: -0.075

Entry 9:
The following is a PBE-GGA calculation of HoPuTh2N4 after structural relaxation, from the Alexandria database.

a = 6.1705 Å, b = 3.5864 Å, c = 6.1985 Å
α = 90.00°, β = 109.68°, γ = 90.00°
Closest atoms and distances in Å follow each position.
Sites, in units of the cell vectors:
Ho1 0.0000 0.0000 0.0000  6 N 2.49-2.50
Pu1 0.0000 0.5000 0.5000  6 N 2.50-2.52
Th1 0.5000 0.0000 0.5000  6 N 2.55-2.56
Th2 0.5000 0.5000 0.0000  6 N 2.53-2.56
N1 0.2404 0.0000 0.7474  1 Ho 2.49, 2 Pu 2.50, 3 Th 2.56
N2 0.2443 0.5000 0.2456  2 Ho 2.50, 1 Pu 2.52, 3 Th 2.53-2.55
N3 0.7557 0.5000 0.7544  2 Ho 2.50, 1 Pu 2.52, 3 Th 2.53-2.55
N4 0.7596 0.0000 0.2526  1 Ho 2.49, 2 Pu 2.50, 3 Th 2.56

SG: P2/m, No. 10
Formation energy without anion corrections in eV per atom: -1.507

Entry 10:
The following is a PBE-GGA calculation of CrOs2PtSe after structural relaxation, from the Alexandria database.

a = 4.8190 Å, b = 4.8190 Å, c = 4.5450 Å
α = 90.00°, β = 90.00°, γ = 90.00°
Closest atoms and distances in Å follow each position.
Sites, in units of the cell vectors:
Cr1 0.0000 0.0000 0.0000  2 Pt 2.27
Os1 0.0000 0.5000 0.5000  2 Pt 2.41
Os2 0.5000 0.0000 0.5000  2 Pt 2.41
Pt1 0.0000 0.0000 0.5000  2 Cr 2.27, 4 Os 2.41
Se1 0.5000 0.5000 0.0000  8 Os 3.31, 4 Cr 3.41

SG: P4/mmm, No. 123
Formation energy without anion corrections in eV per atom: 2.260

Entry 11:
The following is a PBE-GGA calculation of LaY5Er3 after structural relaxation, from the Alexandria database.

a = 10.0901 Å, b = 10.0901 Å, c = 11.2093 Å
α = 112.14°, β = 112.14°, γ = 35.06°
Closest atoms and distances in Å follow each position.
Sites, in units of the cell vectors:
La1 0.1274 0.8726 0.7500  4 Er 2.91-3.20, 2 Y 2.93-3.15
La2 0.8726 0.1274 0.2500  4 Er 2.91-3.20, 2 Y 2.93-3.15
Y1 0.0878 0.5746 0.9707  6 Y 3.44-3.73, 4 Er 3.50-3.69
Y2 0.0938 0.5801 0.3071  4 Er 3.37-3.60, 5 Y 3.49-3.73
Y3 0.3907 0.6093 0.2500  2 La 2.93-3.15
Y4 0.4199 0.9062 0.1929  4 Er 3.37-3.60, 5 Y 3.49-3.73
Y5 0.4254 0.9122 0.5293  6 Y 3.44-3.73, 4 Er 3.50-3.69
Y6 0.5746 0.0878 0.4707  6 Y 3.44-3.73, 4 Er 3.50-3.69
Y7 0.5801 0.0938 0.8071  4 Er 3.37-3.60, 5 Y 3.49-3.73
Y8 0.6093 0.3907 0.7500  2 La 2.93-3.15
Y9 0.9062 0.4199 0.6929  4 Er 3.37-3.60, 5 Y 3.49-3.73
Y10 0.9122 0.4254 0.0293  6 Y 3.44-3.73, 4 Er 3.50-3.69
Er1 0.0000 0.0000 0.0000  2 La 2.91
Er2 0.0000 0.0000 0.5000  2 La 2.91
Er3 0.0558 0.5899 0.6367  1 La 3.20, 1 Er 3.24, 3 Y 3.37-3.55
Er4 0.4101 0.9442 0.8633  1 La 3.20, 1 Er 3.24, 3 Y 3.37-3.55
Er5 0.5899 0.0558 0.1367  1 La 3.20, 1 Er 3.24, 3 Y 3.37-3.55
Er6 0.9442 0.4101 0.3633  1 La 3.20, 1 Er 3.24, 3 Y 3.37-3.55

SG: C2/c, No. 15
Energy relative to the elements in eV/atom: 0.327
E above lowest polymorph in eV/atom: 0.0596

Entry 12:
The following is a PBE-GGA calculation of Ca2FeSe after structural relaxation, from the Alexandria database.

a = 3.9931 Å, b = 3.9931 Å, c = 8.0335 Å
α = 104.02°, β = 104.02°, γ = 59.48°
Closest atoms and distances in Å follow each position.
Sites, in units of the cell vectors:
Ca1 0.2429 0.2429 0.2325  3 Se 2.91-2.92, 3 Fe 3.08-3.10
Ca2 0.7571 0.7571 0.7675  3 Se 2.91-2.92, 3 Fe 3.08-3.10
Fe1 0.0000 0.0000 0.5000  6 Ca 3.08-3.10
Se1 0.5000 0.5000 0.0000  6 Ca 2.91-2.92

SG: C2/m, No. 12
Formation energy without anion corrections in eV per atom: -0.386
E above lowest polymorph in eV/atom: 0.1234

Entry 13:
The following is a PBE-GGA calculation of LaHCl2 after structural relaxation, from the Alexandria database.

a = 7.3734 Å, b = 7.3734 Å, c = 7.3734 Å
α = 31.93°, β = 31.93°, γ = 31.93°
Closest atoms and distances in Å follow each position.
Sites, in units of the cell vectors:
La1 0.0000 0.0000 0.0000  3 H 2.34
H1 0.6666 0.6666 0.6666  3 La 2.34
Cl1 0.2488 0.2488 0.2488  3 H 2.94, 3 La 2.94
Cl2 0.4179 0.4179 0.4179  3 La 2.94, 3 H 2.94

SG: R3m, No. 160
E in eV per atom: -4.845

Entry 14:
The following is a PBE-GGA calculation of LaCrTe after structural relaxation, from the Alexandria database.

a = 4.6842 Å, b = 4.6842 Å, c = 4.1430 Å
α = 90.00°, β = 90.00°, γ = 120.00°
Closest atoms and distances in Å follow each position.
Sites, in units of the cell vectors:
La1 0.0000 0.0000 0.0000  6 Cr 3.40-3.41, 6 Te 3.40-3.41
Cr1 0.6667 0.3333 0.5016  3 Te 2.70
Te1 0.3333 0.6667 0.4990  3 Cr 2.70

SG: P3m1, No. 156
Formation energy without anion corrections in eV per atom: -0.418

Entry 15:
The following is a PBE-GGA calculation of NaCaCd2 after structural relaxation, from the Alexandria database.

a = 6.8553 Å, b = 6.8553 Å, c = 6.8553 Å
α = 103.32°, β = 103.32°, γ = 122.64°
Closest atoms and distances in Å follow each position.
Sites, in units of the cell vectors:
Na1 0.0000 0.0000 0.0000  4 Cd 3.03, 2 Ca 3.29
Na2 0.7500 0.2500 0.5000  4 Cd 3.03, 2 Ca 3.29
Ca1 0.2500 0.7500 0.5000  4 Cd 3.21, 2 Na 3.29
Ca2 0.5000 0.5000 0.0000  4 Cd 3.21, 2 Na 3.29
Cd1 0.1094 0.1250 0.4844  2 Na 3.03, 2 Ca 3.21, 2 Cd 3.30
Cd2 0.3750 0.8906 0.0156  2 Na 3.03, 2 Ca 3.21, 2 Cd 3.30
Cd3 0.6406 0.6250 0.5156  2 Na 3.03, 2 Ca 3.21, 2 Cd 3.30
Cd4 0.8750 0.3594 0.9844  2 Na 3.03, 2 Ca 3.21, 2 Cd 3.30

SG: I-42d, No. 122
Energy relative to the elements in eV/atom: -0.007
E above lowest polymorph in eV/atom: 0.1851

Entry 16:
The following is a PBE-GGA calculation of PaPS4 after structural relaxation, from the Alexandria database.

a = 7.6431 Å, b = 7.6431 Å, c = 5.9760 Å
α = 107.90°, β = 107.90°, γ = 116.54°
Closest atoms and distances in Å follow each position.
Sites, in units of the cell vectors:
Pa1 0.1142 0.8858 0.7500  6 S 2.66-2.77
Pa2 0.8858 0.1142 0.2500  6 S 2.66-2.77
P1 0.3994 0.6006 0.2500  2 S 2.15
P2 0.6006 0.3994 0.7500  2 S 2.15
S1 0.1376 0.5538 0.3452  1 P 2.15
S2 0.1857 0.2704 0.7631  1 P 2.53, 2 Pa 2.66-2.71
S3 0.2704 0.1857 0.2631  1 P 2.53, 2 Pa 2.66-2.71
S4 0.4462 0.8624 0.1548  1 P 2.15
S5 0.5538 0.1376 0.8452  1 P 2.15
S6 0.7296 0.8143 0.7369  1 P 2.53, 2 Pa 2.66-2.71
S7 0.8143 0.7296 0.2369  1 P 2.53, 2 Pa 2.66-2.71
S8 0.8624 0.4462 0.6548  1 P 2.15

SG: C2/c, No. 15
Formation energy without anion corrections in eV per atom: -0.831

Entry 17:
The following is a PBE-GGA calculation of CaTeC after structural relaxation, from the Alexandria database.

a = 4.5580 Å, b = 5.7049 Å, c = 7.5472 Å
α = 90.82°, β = 102.30°, γ = 113.52°
Closest atoms and distances in Å follow each position.
Sites, in units of the cell vectors:
Ca1 0.1757 0.0300 0.2447  2 C 2.54-2.57
Ca2 0.8243 0.9700 0.7553  2 C 2.54-2.57
Te1 0.4809 0.3610 0.6563  1 Te 2.86, 1 C 3.05, 2 Ca 3.19
Te2 0.5191 0.6390 0.3437  1 Te 2.86, 1 C 3.05, 2 Ca 3.19
C1 0.3673 0.9994 0.9526  1 C 1.27
C2 0.6327 0.0006 0.0474  1 C 1.27

SG: P-1, No. 2
Formation energy without anion corrections in eV per atom: -0.381
E above lowest polymorph in eV/atom: 0.0744

Entry 18:
The following is a PBE-GGA calculation of Na3Tm3TaO8 after structural relaxation, from the Alexandria database.

a = 6.7735 Å, b = 6.7735 Å, c = 6.7735 Å
α = 58.74°, β = 58.74°, γ = 58.74°
Closest atoms and distances in Å follow each position.
Sites, in units of the cell vectors:
Na1 0.0000 0.5000 0.5000  6 O 2.51-2.52
Na2 0.5000 0.0000 0.5000  6 O 2.51-2.52
Na3 0.5000 0.5000 0.0000  6 O 2.51-2.52
Tm1 0.0000 0.0000 0.5000  6 O 2.25-2.26
Tm2 0.0000 0.5000 0.0000  6 O 2.25-2.26
Tm3 0.5000 0.0000 0.0000  6 O 2.25-2.26
Ta1 0.5000 0.5000 0.5000  6 O 2.09
O1 0.2369 0.2369 0.2369  3 Tm 2.25, 3 Na 2.51
O2 0.2544 0.7197 0.7197  1 Ta 2.09, 2 Tm 2.26
O3 0.2803 0.2803 0.7456  1 Ta 2.09, 2 Tm 2.26
O4 0.2803 0.7456 0.2803  1 Ta 2.09, 2 Tm 2.26
O5 0.7197 0.2544 0.7197  1 Ta 2.09, 2 Tm 2.26
O6 0.7197 0.7197 0.2544  1 Ta 2.09, 2 Tm 2.26
O7 0.7456 0.2803 0.2803  1 Ta 2.09, 2 Tm 2.26
O8 0.7631 0.7631 0.7631  3 Tm 2.25, 3 Na 2.51

SG: R-3m, No. 166
Formation energy without anion corrections in eV per atom: -2.785

Entry 19:
The following is a PBE-GGA calculation of Pm3Nd8Dy2 after structural relaxation, from the Alexandria database.

a = 8.9166 Å, b = 8.9166 Å, c = 6.2459 Å
α = 107.20°, β = 107.20°, γ = 83.82°
Closest atoms and distances in Å follow each position.
Sites, in units of the cell vectors:
Pm1 0.0000 0.0000 0.0000  2 Nd 3.23, 2 Dy 3.56
Pm2 0.2449 0.7551 0.5000  8 Nd 3.50-3.90
Pm3 0.7551 0.2449 0.5000  8 Nd 3.50-3.90
Nd1 0.0836 0.5714 0.8283  2 Dy 3.45-3.67, 4 Nd 3.50-3.79, 2 Pm 3.63-3.71
Nd2 0.1529 0.1529 0.5511  3 Pm 3.23-3.50, 1 Dy 3.43, 1 Nd 3.59
Nd3 0.4286 0.9164 0.1717  2 Dy 3.45-3.67, 4 Nd 3.50-3.79, 2 Pm 3.63-3.71
Nd4 0.4448 0.4448 0.7143  5 Nd 3.28-3.59, 2 Dy 3.30-3.32, 2 Pm 3.51
Nd5 0.5552 0.5552 0.2857  5 Nd 3.28-3.59, 2 Dy 3.30-3.32, 2 Pm 3.51
Nd6 0.5714 0.0836 0.8283  2 Dy 3.45-3.67, 4 Nd 3.50-3.79, 2 Pm 3.63-3.71
Nd7 0.8471 0.8471 0.4489  3 Pm 3.23-3.50, 1 Dy 3.43, 1 Nd 3.59
Nd8 0.9164 0.4286 0.1717  2 Dy 3.45-3.67, 4 Nd 3.50-3.79, 2 Pm 3.63-3.71
Dy1 0.2879 0.2879 0.1462  8 Nd 3.30-3.67, 1 Pm 3.56
Dy2 0.7121 0.7121 0.8538  8 Nd 3.30-3.67, 1 Pm 3.56

SG: C2/m, No. 12
Energy relative to the elements in eV/atom: 0.154
E above lowest polymorph in eV/atom: 0.0000

Entry 20:
The following is a PBE-GGA calculation of TiCdSn after structural relaxation, from the Alexandria database.

a = 3.7264 Å, b = 3.7264 Å, c = 9.0935 Å
α = 90.00°, β = 90.00°, γ = 90.00°
Closest atoms and distances in Å follow each position.
Sites, in units of the cell vectors:
Ti1 0.2500 0.2500 0.0760  5 Sn 2.78-2.98, 4 Ti 2.98, 1 Cd 3.04
Ti2 0.7500 0.7500 0.9240  5 Sn 2.78-2.98, 4 Ti 2.98, 1 Cd 3.04
Cd1 0.2500 0.2500 0.4107  1 Ti 3.04, 4 Cd 3.10, 5 Sn 3.11-3.27
Cd2 0.7500 0.7500 0.5893  1 Ti 3.04, 4 Cd 3.10, 5 Sn 3.11-3.27
Sn1 0.2500 0.2500 0.7700  5 Ti 2.78-2.98, 4 Cd 3.11
Sn2 0.7500 0.7500 0.2300  5 Ti 2.78-2.98, 4 Cd 3.11

SG: P4/nmm, No. 129
Energy relative to the elements in eV/atom: -0.073
E above lowest polymorph in eV/atom: 0.0000